# LiCdI3

A geometry-optimized LiCdI3 structure (PBE, the Alexandria database).

Results
- density of states at the Fermi level (states/eV per cell) = 0.0
- raw total energy (eV per cell) = -23.15
- formation energy (no corrections) (eV per atom) = -0.819
- E above lowest polymorph (meV/atom) = 0
- M_tot (μB/f.u.) = 0.00
- crystal system = monoclinic

abc: 4.379 7.833 12.451
angles: 93.79 90.00 106.23
Fractional coordinates of all 10 atoms:
Li  0.659  0.317  0.900
Li  0.341  0.683  0.100
Cd  0.928  0.855  0.719
Cd  0.072  0.145  0.281
I  0.366  0.731  0.591
I  0.634  0.269  0.409
I  0.849  0.697  0.922
I  0.151  0.303  0.078
I  0.114  0.228  0.756
I  0.886  0.772  0.244